# LiErTaN3 GGA-PBE relaxed
data_LiErTaN3
_cell_length_a 6.680
_cell_length_b 3.162
_cell_length_c 6.723
_cell_angle_alpha 90.00
_cell_angle_beta 103.33
_cell_angle_gamma 90.00
_symmetry_space_group_name_H-M 'P 1 21/m 1'
_symmetry_Int_Tables_number 11
_symmetry_space_group_name_Hall '-P 2yb'
loop_
_atom_site_label
_atom_site_type_symbol
_atom_site_fract_x
_atom_site_fract_y
_atom_site_fract_z
Li1 Li 0.077 0.250 0.085
Er1 Er 0.204 0.250 0.732
Ta1 Ta 0.327 0.750 0.316
N1 N 0.132 0.250 0.368
N2 N 0.219 0.750 0.016
N3 N 0.444 0.750 0.666
# Uncorrected energy: -8.342 eV per atom
# Energy relative to the elements, uncorrected: -1.12 eV per atom

# LiErU2N4 GGA-PBE relaxed
data_LiErU2N4
_cell_length_a 5.847
_cell_length_b 3.462
_cell_length_c 5.918
_cell_angle_alpha 90.00
_cell_angle_beta 108.79
_cell_angle_gamma 90.00
_symmetry_space_group_name_H-M 'P 1 2/m 1'
_symmetry_Int_Tables_number 10
_symmetry_space_group_name_Hall '-P 2y'
loop_
_atom_site_label
_atom_site_type_symbol
_atom_site_fract_x
_atom_site_fract_y
_atom_site_fract_z
Li1 Li 0.000 0.000 0.000
Er1 Er 0.000 0.500 0.500
U1 U 0.500 0.000 0.500
U2 U 0.500 0.500 0.000
N1 N 0.261 0.000 0.748
N2 N 0.289 0.500 0.278
# Uncorrected energy: -9.048 eV per atom
# Energy relative to the elements, uncorrected: -1.25 eV per atom